No. 1
The following is a PBE calculation of a relaxed structure of CeThTc2, from Alexandria.

The structure in POSCAR format:
```
CeThTc2
1.0
1.747 1.008 8.459
-1.747 1.008 8.459
0.000 -2.017 8.459
Ce Th Tc
1 1 2
direct
0.000 0.000 0.000
0.500 0.500 0.500
0.253 0.253 0.253
0.747 0.747 0.747
```

V = 22.35 Å³/atom
ΔE_f = 0.2858 eV/atom
Symmetry = No. 166
E_tot = -32.9 eV per formula unit

No. 2
The following is a PBE calculation of a relaxed structure of Ce2ThTc2, from Alexandria.

The structure in POSCAR format:
```
Ce2ThTc2
1.0
5.742 0.000 0.000
0.000 4.782 0.000
-0.574 0.000 8.672
Ce Th Tc
4 2 4
direct
0.103 0.250 0.141
0.153 0.750 0.499
0.847 0.250 0.501
0.897 0.750 0.859
0.407 0.250 0.768
0.593 0.750 0.232
0.308 0.750 0.923
0.405 0.250 0.380
0.595 0.750 0.620
0.692 0.250 0.077
```

V = 23.81 Å³/atom
ΔE_f = -0.1029 eV/atom
Symmetry = No. 11
E_tot = -40.5 eV per formula unit

No. 3
The following is a PBE calculation of a relaxed structure of Ce3Th4Tc2, from Alexandria.

The structure in POSCAR format:
```
Ce3Th4Tc2
1.0
8.087 -2.285 0.000
8.087 2.285 0.000
-1.883 0.000 6.591
Ce Th Tc
3 4 2
direct
0.000 0.000 0.000
0.106 0.106 0.670
0.894 0.894 0.330
0.224 0.224 0.196
0.422 0.422 0.645
0.578 0.578 0.355
0.776 0.776 0.804
0.376 0.376 0.052
0.624 0.624 0.948
```

V = 27.07 Å³/atom
ΔE_f = 0.0283 eV/atom
Symmetry = No. 12
E_tot = -68.0 eV per formula unit

No. 4
The following is a PBE calculation of a relaxed structure of CeThTc, from Alexandria.

The structure in POSCAR format:
```
CeThTc
1.0
0.000 3.446 3.446
3.446 0.000 3.446
3.446 3.446 0.000
Ce Th Tc
1 1 1
direct
0.000 0.000 0.000
0.500 0.500 0.500
0.250 0.250 0.250
```

V = 27.28 Å³/atom
ΔE_f = 0.0833 eV/atom
Symmetry = No. 216
E_tot = -23.5 eV per formula unit

No. 5
The following is a PBE calculation of a relaxed structure of Ce4Th3Tc4, from Alexandria.

The structure in POSCAR format:
```
Ce4Th3Tc4
1.0
-1.847 4.856 7.324
1.847 -4.856 7.324
1.847 4.856 -7.324
Ce Th Tc
4 3 4
direct
0.029 0.835 0.195
0.360 0.165 0.195
0.640 0.835 0.805
0.971 0.165 0.805
0.000 0.500 0.500
0.390 0.390 0.000
0.610 0.610 0.000
0.220 0.720 0.500
0.275 0.000 0.275
0.725 0.000 0.725
0.780 0.280 0.500
```

V = 23.89 Å³/atom
ΔE_f = -0.0795 eV/atom
Symmetry = No. 71
E_tot = -88.3 eV per formula unit

No. 6
The following is a PBE calculation of a relaxed structure of Ce3Th3Tl2Tc, from Alexandria.

The structure in POSCAR format:
```
Ce3Th3Tl2Tc
1.0
8.876 0.000 0.000
-4.438 7.687 0.000
0.000 0.000 3.776
Ce Th Tl Tc
3 3 2 1
direct
0.000 0.608 0.000
0.392 0.392 0.000
0.608 0.000 0.000
0.000 0.244 0.500
0.244 0.000 0.500
0.756 0.756 0.500
0.333 0.667 0.500
0.667 0.333 0.500
0.000 0.000 0.000
```

V = 28.62 Å³/atom
ΔE_f = -0.1592 eV/atom
Symmetry = No. 189
E_tot = -56.6 eV per formula unit

No. 7
The following is a PBE calculation of a relaxed structure of CeThTlTc, from Alexandria.

The structure in POSCAR format:
```
CeThTlTc
1.0
3.431 0.000 0.000
0.000 3.431 0.000
0.000 0.000 8.719
Ce Th Tl Tc
1 1 1 1
direct
0.000 0.000 0.000
0.000 0.000 0.596
0.500 0.500 0.291
0.500 0.500 0.802
```

V = 25.66 Å³/atom
ΔE_f = -0.1661 eV/atom
Symmetry = No. 99
E_tot = -26.8 eV per formula unit

No. 8
The following is a PBE calculation of a relaxed structure of CeTmThTc, from Alexandria.

The structure in POSCAR format:
```
CeTmThTc
1.0
3.853 -2.230 0.000
3.853 2.230 0.000
-2.575 0.000 6.358
Ce Tm Th Tc
1 1 1 1
direct
0.000 0.000 0.000
0.227 0.227 0.681
0.438 0.438 0.314
0.648 0.648 0.941
```

V = 27.32 Å³/atom
ΔE_f = 0.1666 eV/atom
Symmetry = No. 8
E_tot = -27.5 eV per formula unit

No. 9
The following is a PBE calculation of a relaxed structure of CeThZnTc, from Alexandria.

The structure in POSCAR format:
```
CeThZnTc
1.0
0.000 3.572 3.572
3.572 0.000 3.572
3.572 3.572 0.000
Ce Th Zn Tc
1 1 1 1
direct
0.000 0.000 0.000
0.500 0.500 0.500
0.250 0.250 0.250
0.750 0.750 0.750
```

V = 22.78 Å³/atom
ΔE_f = -0.0989 eV/atom
Symmetry = No. 216
E_tot = -25.4 eV per formula unit

No. 10
The following is a PBE calculation of a relaxed structure of CeTiTc4, from Alexandria.

The structure in POSCAR format:
```
CeTiTc4
1.0
0.000 3.750 3.750
3.750 0.000 3.750
3.750 3.750 0.000
Ce Ti Tc
1 1 4
direct
0.000 0.000 0.000
0.750 0.750 0.750
0.376 0.376 0.376
0.376 0.376 0.873
0.376 0.873 0.376
0.873 0.376 0.376
```

V = 17.57 Å³/atom
ΔE_f = 0.0015 eV/atom
Symmetry = No. 216
E_tot = -55.3 eV per formula unit

No. 11
The following is a PBE calculation of a relaxed structure of CeTiZnTc, from Alexandria.

The structure in POSCAR format:
```
CeTiZnTc
1.0
0.000 3.336 3.336
3.336 0.000 3.336
3.336 3.336 0.000
Ce Ti Zn Tc
1 1 1 1
direct
0.000 0.000 0.000
0.500 0.500 0.500
0.250 0.250 0.250
0.750 0.750 0.750
```

V = 18.57 Å³/atom
ΔE_f = -0.0496 eV/atom
Symmetry = No. 216
E_tot = -25.7 eV per formula unit

No. 12
The following is a PBE calculation of a relaxed structure of Ce5Tl2Tc, from Alexandria.

The structure in POSCAR format:
```
Ce5Tl2Tc
1.0
2.615 -8.687 0.000
2.615 8.687 0.000
0.000 0.000 12.215
Ce Tl Tc
10 4 2
direct
0.052 0.948 0.598
0.052 0.948 0.902
0.269 0.731 0.561
0.269 0.731 0.939
0.311 0.689 0.250
0.689 0.311 0.750
0.731 0.269 0.061
0.731 0.269 0.439
0.948 0.052 0.098
0.948 0.052 0.402
0.132 0.868 0.131
0.132 0.868 0.369
0.868 0.132 0.631
0.868 0.132 0.869
0.161 0.839 0.750
0.839 0.161 0.250
```

V = 34.69 Å³/atom
ΔE_f = 0.2189 eV/atom
Symmetry = No. 63
E_tot = -43.0 eV per formula unit

No. 13
The following is a PBE calculation of a relaxed structure of Ce6Tl3Tc, from Alexandria.

The structure in POSCAR format:
```
Ce6Tl3Tc
1.0
5.133 -3.413 0.000
5.133 3.413 0.000
-2.168 0.000 8.062
Ce Tl Tc
6 3 1
direct
0.089 0.668 0.626
0.332 0.911 0.374
0.353 0.353 0.136
0.647 0.647 0.864
0.668 0.089 0.626
0.911 0.332 0.374
0.000 0.000 0.000
0.182 0.182 0.752
0.818 0.818 0.248
0.500 0.500 0.500
```

V = 28.25 Å³/atom
ΔE_f = -0.0590 eV/atom
Symmetry = No. 12
E_tot = -53.7 eV per formula unit

No. 14
The following is a PBE calculation of a relaxed structure of Ce2TlTc, from Alexandria.

The structure in POSCAR format:
```
Ce2TlTc
1.0
1.983 1.145 8.098
-1.983 1.145 8.098
0.000 -2.289 8.098
Ce Tl Tc
2 1 1
direct
0.230 0.230 0.230
0.770 0.770 0.770
0.000 0.000 0.000
0.500 0.500 0.500
```

V = 27.57 Å³/atom
ΔE_f = -0.0383 eV/atom
Symmetry = No. 166
E_tot = -24.8 eV per formula unit

No. 15
The following is a PBE calculation of a relaxed structure of Ce8Tl2Tc3, from Alexandria.

The structure in POSCAR format:
```
Ce8Tl2Tc3
1.0
8.596 -3.437 0.000
8.596 3.437 0.000
-0.225 0.000 5.802
Ce Tl Tc
8 2 3
direct
0.085 0.085 0.087
0.113 0.685 0.418
0.315 0.887 0.582
0.348 0.348 0.863
0.652 0.652 0.137
0.685 0.113 0.418
0.887 0.315 0.582
0.915 0.915 0.913
0.251 0.251 0.340
0.749 0.749 0.660
0.298 0.702 0.000
0.500 0.500 0.500
0.702 0.298 0.000
```

V = 26.37 Å³/atom
ΔE_f = 0.0212 eV/atom
Symmetry = No. 12
E_tot = -83.0 eV per formula unit

No. 16
The following is a PBE calculation of a relaxed structure of Ce3Tl3Tc, from Alexandria.

The structure in POSCAR format:
```
Ce3Tl3Tc
1.0
3.606 -4.991 0.000
3.606 4.991 0.000
-1.604 0.000 10.578
Ce Tl Tc
6 6 2
direct
0.111 0.441 0.768
0.190 0.190 0.341
0.441 0.111 0.768
0.559 0.889 0.232
0.810 0.810 0.659
0.889 0.559 0.232
0.163 0.837 0.000
0.280 0.720 0.500
0.361 0.361 0.088
0.639 0.639 0.912
0.720 0.280 0.500
0.837 0.163 0.000
0.195 0.195 0.569
0.805 0.805 0.431
```

V = 27.20 Å³/atom
ΔE_f = -0.0280 eV/atom
Symmetry = No. 12
E_tot = -35.5 eV per formula unit

No. 17
The following is a PBE calculation of a relaxed structure of Ce3TlTc, from Alexandria.

The structure in POSCAR format:
```
Ce3TlTc
1.0
6.755 0.000 0.000
0.000 5.327 0.000
-0.247 0.000 7.257
Ce Tl Tc
6 2 2
direct
0.034 0.250 0.135
0.152 0.250 0.551
0.400 0.750 0.826
0.600 0.250 0.174
0.848 0.750 0.449
0.966 0.750 0.865
0.309 0.750 0.299
0.691 0.250 0.701
0.297 0.250 0.862
0.703 0.750 0.138
```

V = 26.11 Å³/atom
ΔE_f = -0.0882 eV/atom
Symmetry = No. 11
E_tot = -31.0 eV per formula unit

No. 18
The following is a PBE calculation of a relaxed structure of CeTlTc, from Alexandria.

The structure in POSCAR format:
```
CeTlTc
1.0
5.963 -2.408 0.000
5.963 2.408 0.000
-0.741 0.000 5.043
Ce Tl Tc
2 2 2
direct
0.136 0.136 0.303
0.864 0.864 0.697
0.424 0.424 0.228
0.576 0.576 0.772
0.202 0.202 0.896
0.798 0.798 0.104
```

V = 24.14 Å³/atom
ΔE_f = -0.1372 eV/atom
Symmetry = No. 12
E_tot = -19.1 eV per formula unit

No. 19
The following is a PBE calculation of a relaxed structure of Ce8Tl2Tc, from Alexandria.

The structure in POSCAR format:
```
Ce8Tl2Tc
1.0
8.426 -2.640 0.000
8.426 2.640 0.000
-2.271 0.000 6.437
Ce Tl Tc
8 2 1
direct
0.003 0.003 0.302
0.188 0.188 0.140
0.354 0.354 0.103
0.403 0.403 0.609
0.597 0.597 0.391
0.646 0.646 0.897
0.812 0.812 0.860
0.997 0.997 0.698
0.196 0.196 0.651
0.804 0.804 0.349
0.500 0.500 0.000
```

V = 26.04 Å³/atom
ΔE_f = -0.0969 eV/atom
Symmetry = No. 12
E_tot = -63.6 eV per formula unit

No. 20
The following is a PBE calculation of a relaxed structure of Ce3Tl2Tc, from Alexandria.

The structure in POSCAR format:
```
Ce3Tl2Tc
1.0
3.957 -5.325 0.000
3.957 5.325 0.000
-1.263 0.000 8.107
Ce Tl Tc
6 4 2
direct
0.038 0.415 0.780
0.169 0.169 0.166
0.415 0.038 0.780
0.585 0.962 0.220
0.831 0.831 0.834
0.962 0.585 0.220
0.000 0.000 0.500
0.360 0.640 0.500
0.500 0.500 0.000
0.640 0.360 0.500
0.219 0.781 0.000
0.781 0.219 0.000
```

V = 28.47 Å³/atom
ΔE_f = -0.0577 eV/atom
Symmetry = No. 12
E_tot = -33.2 eV per formula unit